(1)
An optimized crystal structure of BaGa2CoCu. Source: Alexandria via LeMat-Bulk, functional GGA-PBE.

E: -20.12 eV/f.u.
DOS at the Fermi energy: 0.390 states/eV per atom
Spin magnetization: 0.00 Bohr magnetons per cell
Energy of formation: -18 kJ/mol of atoms

Cell lengths 4.607, 4.607, 4.991 Å; angles 90.00, 90.00, 90.00 degrees
Sites, in units of the cell vectors:
Ba  0.000  0.000  0.000
Ga  0.000  0.500  0.500
Ga  0.500  0.000  0.500
Co  0.500  0.500  0.500
Cu  0.500  0.500  0.000

(2)
An optimized crystal structure of BaCoCuH6. Source: Alexandria via LeMat-Bulk, functional GGA-PBE.

E: -35.35 eV/f.u.
DOS at the Fermi energy: 0.437 states/eV per atom
Spin magnetization: 0.00 Bohr magnetons per cell

Cell lengths 4.682, 4.682, 4.845 Å; angles 90.00, 90.00, 120.00 degrees
Sites, in units of the cell vectors:
Ba  0.000  0.000  0.000
Co  0.667  0.333  0.500
Cu  0.333  0.667  0.500
H  0.514  0.029  0.296
H  0.514  0.029  0.704
H  0.514  0.486  0.296
H  0.514  0.486  0.704
H  0.971  0.486  0.296
H  0.971  0.486  0.704